No. 1
This record from the Alexandria database describes a relaxed structure of CdTc2Se. The functional is PBE-GGA.

The structure in POSCAR format:
```
CdTc2Se
1.0
1.497 -2.380 0.000
1.497 2.380 0.000
0.000 0.000 10.469
Cd Tc Se
1 2 1
Direct
0.000 0.000 0.000 Cd
0.000 0.000 0.445 Tc
0.500 0.500 0.245 Tc
0.500 0.500 0.652 Se
```

Its energy relative to the lowest polymorph listed for this composition is 107 kJ/mol of formula units. The value obtained for the final energy is -23.62 eV/cell.


No. 2
This record from the Alexandria database describes a relaxed structure of BaCaZnO3. The functional is PBE-GGA.

The structure in POSCAR format:
```
BaCaZnO3
1.0
1.777 -5.986 0.000
1.777 5.986 0.000
0.000 0.000 9.312
Ba Ca Zn O
2 2 2 6
Direct
0.250 0.750 0.750 Ba
0.750 0.250 0.250 Ba
0.000 0.000 0.000 Ca
0.000 0.000 0.500 Ca
0.477 0.523 0.250 Zn
0.523 0.477 0.750 Zn
0.067 0.933 0.250 O
0.380 0.620 0.081 O
0.380 0.620 0.419 O
0.620 0.380 0.581 O
0.620 0.380 0.919 O
0.933 0.067 0.750 O
```

The value obtained for the final energy is -67.09 eV/cell.


No. 3
This record from the Alexandria database describes a relaxed structure of Si2MoAu. The functional is PBE-GGA.

The structure in POSCAR format:
```
Si2MoAu
1.0
4.260 0.000 0.000
0.000 4.260 0.000
0.000 0.000 3.266
Si Mo Au
2 1 1
Direct
0.000 0.500 0.000 Si
0.500 0.000 0.000 Si
0.000 0.000 0.500 Mo
0.500 0.500 0.500 Au
```

Its energy relative to the lowest polymorph listed for this composition is 44 kJ/mol of formula units. The value obtained for the final energy is -24.75 eV/cell.


No. 4
This record from the Alexandria database describes a relaxed structure of Li2Pr3ZnPd9. The functional is PBE-GGA.

The structure in POSCAR format:
```
Li2Pr3ZnPd9
1.0
6.732 0.000 0.000
-3.366 5.830 0.000
0.000 0.000 7.193
Li Pr Zn Pd
2 3 1 9
Direct
0.333 0.667 0.137 Li
0.667 0.333 0.863 Li
0.000 0.000 0.000 Pr
0.333 0.667 0.670 Pr
0.667 0.333 0.330 Pr
0.000 0.000 0.500 Zn
0.000 0.500 0.000 Pd
0.181 0.362 0.333 Pd
0.181 0.819 0.333 Pd
0.362 0.181 0.667 Pd
0.500 0.000 0.000 Pd
0.500 0.500 0.000 Pd
0.638 0.819 0.333 Pd
0.819 0.181 0.667 Pd
0.819 0.638 0.667 Pd
```

The energy of formation from the pure elements is -451.5 meV/atom. The value obtained for the final energy is -72.95 eV/cell.


No. 5
This record from the Alexandria database describes a relaxed structure of HfInF. The functional is PBE-GGA.

The structure in POSCAR format:
```
HfInF
1.0
5.956 -1.613 0.000
5.956 1.613 0.000
-1.871 0.000 5.691
Hf In F
2 2 2
Direct
0.190 0.190 0.193 Hf
0.810 0.810 0.807 Hf
0.471 0.471 0.228 In
0.529 0.529 0.772 In
0.201 0.201 0.582 F
0.799 0.799 0.418 F
```

The value obtained for the final energy is -36.97 eV/cell.


No. 6
This record from the Alexandria database describes a relaxed structure of TlVH3. The functional is PBE-GGA.

The structure in POSCAR format:
```
TlVH3
1.0
4.031 0.000 0.000
0.000 4.031 0.000
0.000 0.000 4.031
Tl V H
1 1 3
Direct
0.000 0.000 0.000 Tl
0.500 0.500 0.500 V
0.000 0.000 0.500 H
0.000 0.500 0.000 H
0.500 0.000 0.000 H
```

Its energy relative to the lowest polymorph listed for this composition is 403 kJ/mol of formula units. The value obtained for the final energy is -16.14 eV/cell.